The following is a DFT calculation (SCAN) of a PBEsol-optimized structure of TeBrO3F5.

a = 5.247 Å, b = 6.118 Å, c = 20.166 Å
α = 90.00°, β = 90.65°, γ = 90.00°
Positions (direct):
Te1 0.247 0.217 0.408
Te2 0.247 0.283 0.908
Te3 0.753 0.717 0.092
Te4 0.753 0.783 0.592
Br1 0.250 0.165 0.743
Br2 0.250 0.335 0.243
Br3 0.750 0.665 0.757
Br4 0.750 0.835 0.257
O1 0.051 0.730 0.756
O2 0.051 0.770 0.256
O3 0.390 0.184 0.322
O4 0.390 0.316 0.822
O5 0.406 0.184 0.192
O6 0.406 0.316 0.692
O7 0.594 0.684 0.308
O8 0.594 0.816 0.808
O9 0.610 0.684 0.178
O10 0.610 0.816 0.678
O11 0.949 0.230 0.744
O12 0.949 0.270 0.244
F1 0.052 0.572 0.119
F2 0.052 0.928 0.619
F3 0.097 0.018 0.884
F4 0.097 0.482 0.384
F5 0.106 0.243 0.492
F6 0.106 0.257 0.992
F7 0.390 0.550 0.932
F8 0.390 0.950 0.432
F9 0.466 0.637 0.560
F10 0.466 0.863 0.060
F11 0.534 0.137 0.940
F12 0.534 0.363 0.440
F13 0.610 0.050 0.568
F14 0.610 0.450 0.068
F15 0.894 0.743 0.008
F16 0.894 0.757 0.508
F17 0.903 0.518 0.616
F18 0.903 0.982 0.116
F19 0.948 0.072 0.381
F20 0.948 0.428 0.881

Calculated values
D(E_F) in states/eV per atom: 0.00
Formation energy without anion corrections in eV/atom: -1.18


The following is a DFT calculation (SCAN) of a PBEsol-optimized structure of Be2SbAu2.

a = 6.660 Å, b = 6.660 Å, c = 6.660 Å
α = 148.72°, β = 148.72°, γ = 44.82°
Positions (direct):
Be1 0.250 0.750 0.500
Be2 0.750 0.250 0.500
Sb1 0.000 0.000 0.000
Au1 0.373 0.373 0.000
Au2 0.627 0.627 0.000

Calculated values
D(E_F) in states/eV per atom: 0.36
Offset from the most stable computed form in meV per atom: 0.0
Formation energy without anion corrections in eV/atom: -0.17


The following is a DFT calculation (SCAN) of a PBEsol-optimized structure of K2MgF4.

a = 7.118 Å, b = 7.118 Å, c = 7.118 Å
α = 147.60°, β = 147.60°, γ = 46.47°
Positions (direct):
K1 0.148 0.148 0.000
K2 0.852 0.852 0.000
Mg1 0.500 0.500 0.000
F1 0.000 0.500 0.500
F2 0.347 0.347 0.000
F3 0.500 0.000 0.500
F4 0.653 0.653 0.000

Calculated values
D(E_F) in states/eV per atom: 0.00
Formation energy without anion corrections in eV/atom: -3.37